1.
The following is a DFT calculation (PBE) of crystalline Sc2OsRhAu at its relaxed geometry.

total energy = -6.64 eV per atom
energy of formation = 0.267 eV/atom

```
data_Sc2OsRhAu
_symmetry_space_group_name_H-M 'P 4/m m m'
_symmetry_Int_Tables_number 123
_symmetry_space_group_name_Hall '-P 4 2'
_cell_length_a 4.9923
_cell_length_b 4.9923
_cell_length_c 4.6428
_cell_angle_alpha 90.00
_cell_angle_beta 90.00
_cell_angle_gamma 90.00
loop_
_atom_site_label
_atom_site_fract_x
_atom_site_fract_y
_atom_site_fract_z
_atom_site_occupancy
Sc1 0.0000 0.5000 0.0000 1
Os1 0.0000 0.0000 0.0000 1
Rh1 0.0000 0.0000 0.5000 1
Au1 0.5000 0.5000 0.5000 1
```

=====

2.
The following is a DFT calculation (PBE) of crystalline Tl2PbI2Br2 at its relaxed geometry.

total energy = -2.84 eV per atom

```
data_Tl2PbI2Br2
_symmetry_space_group_name_H-M 'I 4/m m m'
_symmetry_Int_Tables_number 139
_symmetry_space_group_name_Hall '-I 4 2'
_cell_length_a 5.9105
_cell_length_b 5.9105
_cell_length_c 17.7550
_cell_angle_alpha 90.00
_cell_angle_beta 90.00
_cell_angle_gamma 90.00
loop_
_atom_site_label
_atom_site_fract_x
_atom_site_fract_y
_atom_site_fract_z
_atom_site_occupancy
Tl1 0.0000 0.0000 0.1341 1
Pb1 0.0000 0.0000 0.5000 1
I1 0.0000 0.0000 0.3197 1
Br1 0.0000 0.5000 0.0000 1
```

=====

3.
The following is a DFT calculation (PBE) of crystalline Ac2InAs4Pd3 at its relaxed geometry.

total energy = -5.31 eV per atom
energy of formation = -0.796 eV/atom

```
data_Ac2InAs4Pd3
_symmetry_space_group_name_H-M 'P -4 m 2'
_symmetry_Int_Tables_number 115
_cell_length_a 4.6122
_cell_length_b 4.6122
_cell_length_c 10.4360
_cell_angle_alpha 90.00
_cell_angle_beta 90.00
_cell_angle_gamma 90.00
loop_
_symmetry_equiv_pos_as_xyz
'x,y,z'
'y,-x,-z'
'-x,-y,z'
'-y,x,-z'
'-x,y,z'
'-y,-x,-z'
'x,-y,z'
'y,x,-z'
loop_
_atom_site_label
_atom_site_fract_x
_atom_site_fract_y
_atom_site_fract_z
_atom_site_occupancy
Ac1 0.0000 0.5000 0.2317 1
In1 0.0000 0.0000 0.5000 1
As1 0.0000 0.0000 0.0000 1
As2 0.0000 0.5000 0.6459 1
As3 0.5000 0.5000 0.0000 1
Pd1 0.0000 0.5000 0.8872 1
Pd2 0.5000 0.5000 0.5000 1
```

=====

4.
The following is a DFT calculation (PBE) of crystalline Ti3SiNi12 at its relaxed geometry.

total energy = -6.62 eV per atom

```
data_Ti3SiNi12
_symmetry_space_group_name_H-M 'P 4/m m m'
_symmetry_Int_Tables_number 123
_symmetry_space_group_name_Hall '-P 4 2'
_cell_length_a 3.5881
_cell_length_b 3.5881
_cell_length_c 14.2894
_cell_angle_alpha 90.00
_cell_angle_beta 90.00
_cell_angle_gamma 90.00
loop_
_atom_site_label
_atom_site_fract_x
_atom_site_fract_y
_atom_site_fract_z
_atom_site_occupancy
Ti1 0.0000 0.0000 0.0000 1
Ti2 0.0000 0.0000 0.2545 1
Si1 0.0000 0.0000 0.5000 1
Ni1 0.0000 0.5000 0.1268 1
Ni2 0.0000 0.5000 0.3809 1
Ni3 0.5000 0.5000 0.0000 1
Ni4 0.5000 0.5000 0.2542 1
Ni5 0.5000 0.5000 0.5000 1
```

=====

5.
The following is a DFT calculation (PBE) of crystalline HoBe2Ni2 at its relaxed geometry.

total energy = -5.04 eV per atom
energy of formation = -0.326 eV/atom

```
data_HoBe2Ni2
_symmetry_space_group_name_H-M 'F d d d'
_symmetry_Int_Tables_number 70
_cell_length_a 4.8650
_cell_length_b 9.1401
_cell_length_c 12.2490
_cell_angle_alpha 90.00
_cell_angle_beta 90.00
_cell_angle_gamma 90.00
loop_
_symmetry_equiv_pos_as_xyz
'x,y,z'
'-x,-y,-z'
'-x+1/4,-y+1/4,z'
'x+1/4,y+1/4,-z'
'x,-y+1/4,-z+1/4'
'-x,y+1/4,z+1/4'
'-x+1/4,y,-z+1/4'
'x+1/4,-y,z+1/4'
'x,y+1/2,z+1/2'
'-x,-y+1/2,-z+1/2'
'-x+1/4,-y+3/4,z+1/2'
'x+1/4,y+3/4,-z+1/2'
'x,-y+3/4,-z+3/4'
'-x,y+3/4,z+3/4'
'-x+1/4,y+1/2,-z+3/4'
'x+1/4,-y+1/2,z+3/4'
'x+1/2,y,z+1/2'
'-x+1/2,-y,-z+1/2'
'-x+3/4,-y+1/4,z+1/2'
'x+3/4,y+1/4,-z+1/2'
'x+1/2,-y+1/4,-z+3/4'
'-x+1/2,y+1/4,z+3/4'
'-x+3/4,y,-z+3/4'
'x+3/4,-y,z+3/4'
'x+1/2,y+1/2,z'
'-x+1/2,-y+1/2,-z'
'-x+3/4,-y+3/4,z'
'x+3/4,y+3/4,-z'
'x+1/2,-y+3/4,-z+1/4'
'-x+1/2,y+3/4,z+1/4'
'-x+3/4,y+1/2,-z+1/4'
'x+3/4,-y+1/2,z+1/4'
loop_
_atom_site_label
_atom_site_fract_x
_atom_site_fract_y
_atom_site_fract_z
_atom_site_occupancy
Ho1 0.1250 0.1250 0.1250 1
Be1 0.1250 0.3112 0.6250 1
Ni1 0.1250 0.1250 0.5116 1
```

=====

6.
The following is a DFT calculation (PBE) of crystalline Os2RuW at its relaxed geometry.

total energy = -11.12 eV per atom
energy of formation = 0.051 eV/atom

```
data_Os2RuW
_symmetry_space_group_name_H-M 'P 1 2/m 1'
_symmetry_Int_Tables_number 10
_cell_length_a 4.7487
_cell_length_b 2.7498
_cell_length_c 4.7612
_cell_angle_alpha 90.00
_cell_angle_beta 109.34
_cell_angle_gamma 90.00
loop_
_symmetry_equiv_pos_as_xyz
'x,y,z'
'-x,-y,-z'
'-x,y,-z'
'x,-y,z'
loop_
_atom_site_label
_atom_site_fract_x
_atom_site_fract_y
_atom_site_fract_z
_atom_site_occupancy
Os1 0.0000 0.0000 0.0000 1
Os2 0.5000 0.5000 0.0000 1
Ru1 0.0000 0.5000 0.5000 1
W1 0.5000 0.0000 0.5000 1
```

=====

7.
The following is a DFT calculation (PBE) of crystalline SiB3 at its relaxed geometry.

total energy = -6.08 eV per atom

```
data_SiB3
_symmetry_space_group_name_H-M 'P 1 m 1'
_symmetry_Int_Tables_number 6
_cell_length_a 3.2820
_cell_length_b 2.9294
_cell_length_c 3.8723
_cell_angle_alpha 90.00
_cell_angle_beta 103.20
_cell_angle_gamma 90.00
loop_
_symmetry_equiv_pos_as_xyz
'x,y,z'
'x,-y,z'
loop_
_atom_site_label
_atom_site_fract_x
_atom_site_fract_y
_atom_site_fract_z
_atom_site_occupancy
Si1 0.0000 0.0000 0.0000 1
B1 0.1063 0.5000 0.4315 1
B2 0.4120 0.0000 0.6857 1
B3 0.6475 0.5000 0.5808 1
```

=====

8.
The following is a DFT calculation (PBE) of crystalline Zr5Se8 at its relaxed geometry.

total energy = -6.68 eV per atom

```
data_Zr5Se8
_symmetry_space_group_name_H-M 'R -3 m'
_symmetry_Int_Tables_number 166
_symmetry_space_group_name_Hall '-R 3 2"'
_cell_length_a 3.8208
_cell_length_b 3.8208
_cell_length_c 80.2290
_cell_angle_alpha 90.00
_cell_angle_beta 90.00
_cell_angle_gamma 120.00
loop_
_atom_site_label
_atom_site_fract_x
_atom_site_fract_y
_atom_site_fract_z
_atom_site_occupancy
Zr1 0.0000 0.0000 0.0000 1
Zr2 0.0000 0.0000 0.1245 1
Zr3 0.0000 0.0000 0.3741 1
Se1 0.0000 0.0000 0.0603 1
Se2 0.0000 0.0000 0.1891 1
Se3 0.0000 0.0000 0.3131 1
Se4 0.0000 0.0000 0.4381 1
```

=====

9.
The following is a DFT calculation (PBE) of crystalline AgSb2Se at its relaxed geometry.

total energy = -3.47 eV per atom

```
data_AgSb2Se
_symmetry_space_group_name_H-M 'P 4 m m'
_symmetry_Int_Tables_number 99
_cell_length_a 3.6573
_cell_length_b 3.6573
_cell_length_c 7.7369
_cell_angle_alpha 90.00
_cell_angle_beta 90.00
_cell_angle_gamma 90.00
loop_
_symmetry_equiv_pos_as_xyz
'x,y,z'
'-y,x,z'
'-x,-y,z'
'y,-x,z'
'-x,y,z'
'y,x,z'
'x,-y,z'
'-y,-x,z'
loop_
_atom_site_label
_atom_site_fract_x
_atom_site_fract_y
_atom_site_fract_z
_atom_site_occupancy
Ag1 0.0000 0.0000 0.0000 1
Sb1 0.0000 0.0000 0.5234 1
Sb2 0.5000 0.5000 0.1752 1
Se1 0.5000 0.5000 0.6847 1
```

=====

10.
The following is a DFT calculation (PBE) of crystalline Ba2CdPt at its relaxed geometry.

total energy = -3.21 eV per atom
energy of formation = -0.510 eV/atom

```
data_Ba2CdPt
_symmetry_space_group_name_H-M 'P 1 m 1'
_symmetry_Int_Tables_number 6
_cell_length_a 4.7789
_cell_length_b 4.7867
_cell_length_c 6.6217
_cell_angle_alpha 90.00
_cell_angle_beta 111.02
_cell_angle_gamma 90.00
loop_
_symmetry_equiv_pos_as_xyz
'x,y,z'
'x,-y,z'
loop_
_atom_site_label
_atom_site_fract_x
_atom_site_fract_y
_atom_site_fract_z
_atom_site_occupancy
Ba1 0.0000 0.0000 0.0000 1
Ba2 0.2798 0.5000 0.5617 1
Cd1 0.5802 0.5000 0.1608 1
Pt1 0.7064 0.0000 0.4144 1
```

=====

11.
The following is a DFT calculation (PBE) of crystalline Sr2NdTcN4 at its relaxed geometry.

total energy = -7.14 eV per atom

```
data_Sr2NdTcN4
_symmetry_space_group_name_H-M 'P m n 21'
_symmetry_Int_Tables_number 31
_cell_length_a 7.8258
_cell_length_b 7.1387
_cell_length_c 5.4187
_cell_angle_alpha 90.00
_cell_angle_beta 90.00
_cell_angle_gamma 90.00
loop_
_symmetry_equiv_pos_as_xyz
'x,y,z'
'-x+1/2,-y,z+1/2'
'-x,y,z'
'x+1/2,-y,z+1/2'
loop_
_atom_site_label
_atom_site_fract_x
_atom_site_fract_y
_atom_site_fract_z
_atom_site_occupancy
Sr1 0.2463 0.1575 0.0000 1
Nd1 0.0000 0.3618 0.5024 1
Tc1 0.0000 0.6612 0.0528 1
N1 0.0000 0.3927 0.9965 1
N2 0.0000 0.6675 0.4002 1
N3 0.2093 0.7768 0.9772 1
```

=====

12.
The following is a DFT calculation (PBE) of crystalline YZn3Pt at its relaxed geometry.

total energy = -3.84 eV per atom
energy of formation = -0.572 eV/atom

```
data_YZn3Pt
_symmetry_space_group_name_H-M 'C m c m'
_symmetry_Int_Tables_number 63
_symmetry_space_group_name_Hall '-C 2c 2'
_cell_length_a 5.5565
_cell_length_b 11.9878
_cell_length_c 5.5405
_cell_angle_alpha 90.00
_cell_angle_beta 90.00
_cell_angle_gamma 90.00
loop_
_atom_site_label
_atom_site_fract_x
_atom_site_fract_y
_atom_site_fract_z
_atom_site_occupancy
Y1 0.0000 0.2496 0.2500 1
Zn1 0.0000 0.1360 0.7500 1
Zn2 0.2426 0.5000 0.0000 1
Pt1 0.0000 0.3475 0.7500 1
```

=====

13.
The following is a DFT calculation (PBE) of crystalline AlGaNF2 at its relaxed geometry.

total energy = -4.62 eV per atom

```
data_AlGaNF2
_symmetry_space_group_name_H-M 'P 4/m m m'
_symmetry_Int_Tables_number 123
_symmetry_space_group_name_Hall '-P 4 2'
_cell_length_a 3.9285
_cell_length_b 3.9285
_cell_length_c 3.9586
_cell_angle_alpha 90.00
_cell_angle_beta 90.00
_cell_angle_gamma 90.00
loop_
_atom_site_label
_atom_site_fract_x
_atom_site_fract_y
_atom_site_fract_z
_atom_site_occupancy
Al1 0.0000 0.0000 0.0000 1
Ga1 0.5000 0.5000 0.5000 1
N1 0.5000 0.5000 0.0000 1
F1 0.0000 0.5000 0.5000 1
```

=====

14.
The following is a DFT calculation (PBE) of crystalline YReHg2 at its relaxed geometry.

total energy = -4.51 eV per atom
energy of formation = 0.370 eV/atom

```
data_YReHg2
_symmetry_space_group_name_H-M 'P 4 m m'
_symmetry_Int_Tables_number 99
_cell_length_a 3.6816
_cell_length_b 3.6816
_cell_length_c 6.3122
_cell_angle_alpha 90.00
_cell_angle_beta 90.00
_cell_angle_gamma 90.00
loop_
_symmetry_equiv_pos_as_xyz
'x,y,z'
'-y,x,z'
'-x,-y,z'
'y,-x,z'
'-x,y,z'
'y,x,z'
'x,-y,z'
'-y,-x,z'
loop_
_atom_site_label
_atom_site_fract_x
_atom_site_fract_y
_atom_site_fract_z
_atom_site_occupancy
Y1 0.0000 0.0000 0.0000 1
Re1 0.5000 0.5000 0.7571 1
Hg1 0.0000 0.0000 0.5365 1
Hg2 0.5000 0.5000 0.2848 1
```

=====

15.
The following is a DFT calculation (PBE) of crystalline KLa2Pt9 at its relaxed geometry.

total energy = -6.14 eV per atom
energy of formation = -0.694 eV/atom

```
data_KLa2Pt9
_symmetry_space_group_name_H-M 'R -3 m'
_symmetry_Int_Tables_number 166
_symmetry_space_group_name_Hall '-R 3 2"'
_cell_length_a 5.5573
_cell_length_b 5.5573
_cell_length_c 26.5008
_cell_angle_alpha 90.00
_cell_angle_beta 90.00
_cell_angle_gamma 120.00
loop_
_atom_site_label
_atom_site_fract_x
_atom_site_fract_y
_atom_site_fract_z
_atom_site_occupancy
K1 0.0000 0.0000 0.0000 1
La1 0.0000 0.0000 0.1363 1
Pt1 0.0000 0.0000 0.3317 1
Pt2 0.0000 0.0000 0.5000 1
Pt3 0.0042 0.5021 0.9158 1
```

=====

16.
The following is a DFT calculation (PBE) of crystalline ReNiP6 at its relaxed geometry.

total energy = -6.22 eV per atom
energy of formation = 0.115 eV/atom

```
data_ReNiP6
_symmetry_space_group_name_H-M 'C 1 2/m 1'
_symmetry_Int_Tables_number 12
_cell_length_a 4.3638
_cell_length_b 10.6455
_cell_length_c 5.7109
_cell_angle_alpha 90.00
_cell_angle_beta 90.30
_cell_angle_gamma 90.00
loop_
_symmetry_equiv_pos_as_xyz
'x,y,z'
'-x,-y,-z'
'-x,y,-z'
'x,-y,z'
'x+1/2,y+1/2,z'
'-x+1/2,-y+1/2,-z'
'-x+1/2,y+1/2,-z'
'x+1/2,-y+1/2,z'
loop_
_atom_site_label
_atom_site_fract_x
_atom_site_fract_y
_atom_site_fract_z
_atom_site_occupancy
Re1 0.0000 0.0000 0.0000 1
Ni1 0.0000 0.0000 0.5000 1
P1 0.0289 0.5000 0.7672 1
P2 0.2044 0.1575 0.7295 1
```

=====

17.
The following is a DFT calculation (PBE) of crystalline Be2AlRe at its relaxed geometry.

total energy = -5.71 eV per atom
energy of formation = 0.204 eV/atom

```
data_Be2AlRe
_symmetry_space_group_name_H-M 'R -3 m'
_symmetry_Int_Tables_number 166
_symmetry_space_group_name_Hall '-R 3 2"'
_cell_length_a 2.7188
_cell_length_b 2.7188
_cell_length_c 23.6989
_cell_angle_alpha 90.00
_cell_angle_beta 90.00
_cell_angle_gamma 120.00
loop_
_atom_site_label
_atom_site_fract_x
_atom_site_fract_y
_atom_site_fract_z
_atom_site_occupancy
Be1 0.0000 0.0000 0.2485 1
Al1 0.0000 0.0000 0.0000 1
Re1 0.0000 0.0000 0.5000 1
```

=====

18.
The following is a DFT calculation (PBE) of crystalline MnIn2Si at its relaxed geometry.

total energy = -4.59 eV per atom

```
data_MnIn2Si
_symmetry_space_group_name_H-M 'P 4/m m m'
_symmetry_Int_Tables_number 123
_symmetry_space_group_name_Hall '-P 4 2'
_cell_length_a 5.0771
_cell_length_b 5.0771
_cell_length_c 3.1057
_cell_angle_alpha 90.00
_cell_angle_beta 90.00
_cell_angle_gamma 90.00
loop_
_atom_site_label
_atom_site_fract_x
_atom_site_fract_y
_atom_site_fract_z
_atom_site_occupancy
Mn1 0.0000 0.0000 0.0000 1
In1 0.0000 0.5000 0.5000 1
Si1 0.5000 0.5000 0.0000 1
```

=====

19.
The following is a DFT calculation (PBE) of crystalline CoNi3Se at its relaxed geometry.

total energy = -4.86 eV per atom

```
data_CoNi3Se
_symmetry_space_group_name_H-M 'P m -3 m'
_symmetry_Int_Tables_number 221
_symmetry_space_group_name_Hall '-P 4 2 3'
_cell_length_a 4.2935
_cell_length_b 4.2935
_cell_length_c 4.2935
_cell_angle_alpha 90.00
_cell_angle_beta 90.00
_cell_angle_gamma 90.00
loop_
_atom_site_label
_atom_site_fract_x
_atom_site_fract_y
_atom_site_fract_z
_atom_site_occupancy
Co1 0.0000 0.0000 0.0000 1
Ni1 0.0000 0.5000 0.5000 1
Se1 0.5000 0.5000 0.5000 1
```

=====

20.
The following is a DFT calculation (PBE) of crystalline Nd3Tm2Hg3 at its relaxed geometry.

total energy = -3.37 eV per atom
energy of formation = -0.352 eV/atom

```
data_Nd3Tm2Hg3
_symmetry_space_group_name_H-M 'I m m m'
_symmetry_Int_Tables_number 71
_symmetry_space_group_name_Hall '-I 2 2'
_cell_length_a 3.7561
_cell_length_b 5.4580
_cell_length_c 22.4147
_cell_angle_alpha 90.00
_cell_angle_beta 90.00
_cell_angle_gamma 90.00
loop_
_atom_site_label
_atom_site_fract_x
_atom_site_fract_y
_atom_site_fract_z
_atom_site_occupancy
Nd1 0.0000 0.0000 0.0000 1
Nd2 0.0000 0.5000 0.1232 1
Tm1 0.0000 0.0000 0.2341 1
Hg1 0.0000 0.0000 0.5000 1
Hg2 0.0000 0.5000 0.3751 1
```

=====

| no. | ρ (g/cm³) | volume (Å³ per atom) |
| --- | --- | --- |
| 1 | 8.323 | 23.14 |
| 2 | 5.513 | 44.30 |
| 3 | 8.884 | 22.20 |
| 4 | 7.907 | 11.50 |
| 5 | 7.325 | 13.62 |
| 6 | 18.834 | 14.67 |
| 7 | 2.773 | 9.06 |
| 8 | 5.343 | 26.01 |
| 9 | 6.905 | 25.87 |
| 10 | 6.837 | 35.35 |
| 11 | 5.195 | 18.92 |
| 12 | 8.643 | 18.45 |
| 13 | 4.042 | 12.22 |
| 14 | 13.126 | 21.39 |
| 15 | 14.567 | 19.69 |
| 16 | 5.392 | 16.58 |
| 17 | 7.592 | 12.64 |
| 18 | 6.485 | 20.01 |
| 19 | 6.587 | 15.83 |
| 20 | 9.919 | 28.72 |